Material: Ba2In3SbAu4
Method: DFT, PBE
State: optimized geometry

The structure belongs to space group P-4m2 (No. 115); the cell edges are 5.051, 5.051 and 10.796 Å and the angles 90.00°, 90.00° and 90.00°. Symmetry generates all atoms from Ba at (0.000, 0.500, 0.246), In at (0.000, 0.500, 0.886), In at (0.500, 0.500, 0.500), Sb at (0.000, 0.000, 0.500), Au at (0.000, 0.000, 0.000), Au at (0.000, 0.500, 0.631) and Au at (0.500, 0.500, 0.000).

Its total energy is -34.83 eV per formula unit. For the formation energy from raw total energies, the calculation gives -0.55 eV/atom.